Below is K2AlCd after structural relaxation, with properties calculated at the PBE-GGA level.

Cell and atoms, written as extended XYZ:
```
4
Lattice="-1.700 2.792 2.138 -2.680 0.508 -2.794 -5.950 -7.018 4.432" Properties=species:S:1:pos:R:3 pbc="T T T"
Al -3.440 -4.058 2.563
K -4.107 -0.611 1.100
K -5.537 -6.531 4.125
Cd -6.171 -3.045 2.638
```

* calculated volume: 38.94 Å³ per atom
* ΔE to the lowest computed polymorph: 0.057 eV/atom
* formation energy: 140 meV/atom
* ρ: 2.320 g cm⁻³

=====

Below is AgHAu2 after structural relaxation, with properties calculated at the PBE-GGA level.

Cell and atoms, written as extended XYZ:
```
4
Lattice="0.000 3.174 3.174 3.174 0.000 3.174 3.174 3.174 0.000" Properties=species:S:1:pos:R:3 pbc="T T T"
Ag 3.174 3.174 3.174
Au 1.587 1.587 1.587
Au 4.761 4.761 4.761
H 0.000 0.000 0.000
```

* calculated volume: 15.99 Å³ per atom
* ΔE to the lowest computed polymorph: 0.444 eV/atom
* ρ: 13.056 g cm⁻³

=====

Below is Sb2TeSe after structural relaxation, with properties calculated at the PBE-GGA level.

Cell and atoms, written as extended XYZ:
```
4
Lattice="4.385 0.000 0.000 0.000 5.200 -0.046 0.000 1.617 5.127" Properties=species:S:1:pos:R:3 pbc="T T T"
Se 2.192 1.704 1.270
Te 2.192 5.113 3.811
Sb 0.000 5.229 0.082
Sb 0.000 3.380 2.412
```

* calculated volume: 29.30 Å³ per atom
* ΔE to the lowest computed polymorph: 0.026 eV/atom
* raw formation energy: -0.03 eV/f.u.
* ρ: 6.376 g cm⁻³

=====

Below is PrPd3Pb after structural relaxation, with properties calculated at the PBE-GGA level.

Cell and atoms, written as extended XYZ:
```
10
Lattice="6.623 1.597 -0.188 -1.776 6.578 0.188 -3.672 -3.347 4.666" Properties=species:S:1:pos:R:3 pbc="T T T"
Pd -3.541 -0.662 3.852
Pd -1.907 3.893 1.002
Pd 1.607 1.809 1.425
Pd -0.850 -1.692 3.452
Pd -0.431 3.018 3.241
Pd 2.025 6.519 1.213
Pb 2.424 4.087 0.000
Pb 1.476 -0.875 2.239
Pr 2.522 3.993 3.452
Pr -1.346 0.835 1.213
```

* calculated volume: 21.39 Å³ per atom
* formation energy: -480 meV/atom
* ρ: 10.362 g cm⁻³

=====

Below is AcPmGa2Ir2 after structural relaxation, with properties calculated at the PBE-GGA level.

Cell and atoms, written as extended XYZ:
```
6
Lattice="4.410 0.000 0.000 -2.205 3.819 0.000 0.000 0.000 8.054" Properties=species:S:1:pos:R:3 pbc="T T T"
Ga 0.000 2.546 2.207
Ga 2.205 1.273 5.847
Ir 2.205 1.273 2.170
Ir 0.000 2.546 5.884
Pm 0.000 0.000 4.027
Ac 0.000 0.000 0.000
```

* calculated volume: 22.61 Å³ per atom
* formation energy: -728 meV/atom
* ρ: 10.968 g cm⁻³

=====

Below is Li2CdFeW after structural relaxation, with properties calculated at the PBE-GGA level.

Cell and atoms, written as extended XYZ:
```
5
Lattice="4.154 0.000 0.000 0.000 5.223 0.000 0.000 0.000 4.154" Properties=species:S:1:pos:R:3 pbc="T T T"
W 0.000 2.612 0.000
Cd 0.000 0.000 0.000
Li 2.077 0.000 0.000
Li 0.000 0.000 2.077
Fe 2.077 2.612 2.077
```

* calculated volume: 18.02 Å³ per atom
* formation energy: 1663 meV/atom
* ρ: 6.744 g cm⁻³

=====

Below is Li3PmTl2 after structural relaxation, with properties calculated at the PBE-GGA level.

Cell and atoms, written as extended XYZ:
```
12
Lattice="-0.705 -4.221 1.860 7.048 0.036 -3.099 -1.240 3.851 8.269" Properties=species:S:1:pos:R:3 pbc="T T T"
Li 0.045 0.128 6.160
Li 2.908 0.587 2.435
Li 4.885 -1.636 3.991
Li 2.194 -0.920 4.595
Li 0.217 1.303 3.039
Li 5.058 -0.461 0.870
Pm 1.763 -0.529 -0.533
Pm 3.340 0.196 7.563
Tl 0.186 -1.546 2.414
Tl 1.925 1.967 5.193
Tl 4.916 1.213 4.616
Tl 3.178 -2.300 1.837
```

* calculated volume: 22.64 Å³ per atom
* formation energy: -257 meV/atom
* ρ: 7.024 g cm⁻³

=====

Below is LiCdPb4 after structural relaxation, with properties calculated at the PBE-GGA level.

Cell and atoms, written as extended XYZ:
```
6
Lattice="-1.485 3.035 -1.110 -2.250 0.770 5.114 7.055 4.344 2.444" Properties=species:S:1:pos:R:3 pbc="T T T"
Cd -1.860 1.916 2.018
Pb 0.618 2.367 -0.067
Pb 3.741 3.390 4.256
Pb 1.076 1.752 3.337
Pb 4.962 5.040 1.433
Li 3.528 2.188 1.242
```

* calculated volume: 28.88 Å³ per atom
* ΔE to the lowest computed polymorph: 0.000 eV/atom
* formation energy: -26 meV/atom
* ρ: 9.087 g cm⁻³

=====

Below is BaMn2Al after structural relaxation, with properties calculated at the PBE-GGA level.

Cell and atoms, written as extended XYZ:
```
4
Lattice="-1.158 -3.567 9.022 1.373 -5.463 7.983 1.967 -2.444 9.253" Properties=species:S:1:pos:R:3 pbc="T T T"
Mn 2.142 -11.264 25.775
Mn 1.131 -5.948 13.611
Ba 1.636 -8.606 19.693
Al 0.545 -2.869 6.564
```

* calculated volume: 22.99 Å³ per atom
* formation energy: 723 meV/atom
* ρ: 4.952 g cm⁻³

=====

Below is AlTlRh3 after structural relaxation, with properties calculated at the PBE-GGA level.

Cell and atoms, written as extended XYZ:
```
5
Lattice="-0.029 -2.002 -4.494 4.884 0.527 -0.267 0.590 -4.463 1.984" Properties=species:S:1:pos:R:3 pbc="T T T"
Rh -0.015 -1.001 -2.247
Rh 2.442 0.263 -0.133
Rh 0.295 -2.232 0.992
Al 2.722 -2.969 -1.388
Tl 0.000 0.000 0.000
```

* calculated volume: 23.82 Å³ per atom
* ΔE to the lowest computed polymorph: 1.130 eV/atom
* formation energy: 1436 meV/atom
* ρ: 7.532 g cm⁻³

=====

Below is LiIrOs after structural relaxation, with properties calculated at the PBE-GGA level.

Cell and atoms, written as extended XYZ:
```
6
Lattice="5.466 -0.005 -0.001 -1.326 4.306 0.016 0.000 1.684 3.429" Properties=species:S:1:pos:R:3 pbc="T T T"
Li 2.255 1.325 2.279
Li 5.097 1.338 2.271
Os 3.673 3.331 3.417
Os 2.354 3.638 1.148
Ir 0.985 3.376 3.401
Ir -0.424 3.598 1.165
```

* calculated volume: 13.42 Å³ per atom
* ΔE to the lowest computed polymorph: 0.090 eV/atom
* formation energy: 64 meV/atom
* ρ: 16.056 g cm⁻³

=====

Below is PrErMg2Au4 after structural relaxation, with properties calculated at the PBE-GGA level.

Cell and atoms, written as extended XYZ:
```
8
Lattice="-2.862 3.986 -0.214 -4.885 -0.471 0.189 -2.322 1.803 8.261" Properties=species:S:1:pos:R:3 pbc="T T T"
Au -2.422 1.560 5.088
Au -4.944 2.879 7.008
Au -5.125 2.438 1.228
Au -7.647 3.757 3.148
Mg -7.554 3.982 6.108
Mg -2.515 1.334 2.128
Er -5.034 2.658 4.118
Pr 0.000 0.000 0.000
```

* calculated volume: 21.66 Å³ per atom
* formation energy: -753 meV/atom
* ρ: 10.967 g cm⁻³

=====

Question: Which formula does entry 3 have?
Answer: Sb2TeSe

=====

Question: Among the records above, which one has the lowest ρ?
Answer: K2AlCd

=====

Repeat the sixth record exactly.
Below is Li2CdFeW after structural relaxation, with properties calculated at the PBE-GGA level.

Cell and atoms, written as extended XYZ:
```
5
Lattice="4.154 0.000 0.000 0.000 5.223 0.000 0.000 0.000 4.154" Properties=species:S:1:pos:R:3 pbc="T T T"
W 0.000 2.612 0.000
Cd 0.000 0.000 0.000
Li 2.077 0.000 0.000
Li 0.000 0.000 2.077
Fe 2.077 2.612 2.077
```

* calculated volume: 18.02 Å³ per atom
* formation energy: 1663 meV/atom
* ρ: 6.744 g cm⁻³